# BeCdB4 (PBE, relaxed)
data_BeCdB4
_cell_length_a 3.046
_cell_length_b 5.299
_cell_length_c 7.006
_cell_angle_alpha 90.00
_cell_angle_beta 90.00
_cell_angle_gamma 90.00
_space_group_name_H-M_alt 'I m m m'
_space_group_IT_number 71
_space_group_name_Hall '-I 2 2'
loop_
_atom_site_label
_atom_site_type_symbol
_atom_site_fract_x
_atom_site_fract_y
_atom_site_fract_z
_atom_site_occupancy
Be1 Be 0.000 0.000 0.000 1
Cd1 Cd 0.000 0.000 0.500 1
B1 B 0.000 0.333 0.262 1
# V ... 9.4 Å³ per atom
# Mass density ... 4836 kg/m³
# Energy ... -4.72 eV per atom